No. 1
This record from the Alexandria database describes a geometry-optimized Be2AgMo structure. The functional is PBE.

space group = No. 225
energy of formation = 123 kJ/mol of formula units
DFT total energy = -4.966 eV per atom
polymorph energy (0 for the lowest one) = 192.7 meV/atom

a b c (Å): 4.122 4.122 4.122
angles (deg): 60.00 60.00 60.00
Fractional coordinates of all 4 atoms:
Ag1 0.500 0.500 0.500
Be1 0.250 0.250 0.250
Be2 0.750 0.750 0.750
Mo1 0.000 0.000 0.000

---

No. 2
This record from the Alexandria database describes a geometry-optimized K2ZrW structure. The functional is PBE.

space group = No. 44
energy of formation = 470 kJ/mol of formula units
DFT total energy = -4.706 eV per atom
polymorph energy (0 for the lowest one) = 377.8 meV/atom

a b c (Å): 7.503 7.503 7.503
angles (deg): 156.40 125.60 60.10
Fractional coordinates of all 4 atoms:
K1 0.716 0.216 0.500
K2 0.009 0.009 0.000
W1 0.466 0.466 0.000
Zr1 0.309 0.809 0.500